Material: LaErMg
Method: DFT, GGA-PBE
State: optimized geometry

D(E_F) (states/eV/cell): 8.0
Formation enthalpy at 0 K (meV per atom): 70

POSCAR file:
```
LaErMg
1.0
3.530 0.000 0.000
-1.765 3.057 0.000
0.000 0.000 17.233
La Er Mg
2 2 2
direct
0.000 0.000 0.101
0.000 0.000 0.899
0.333 0.667 0.272
0.667 0.333 0.728
0.333 0.667 0.572
0.667 0.333 0.428
```

***

Material: Cd4Os
Method: DFT, GGA-PBE
State: optimized geometry

D(E_F) (states/eV/cell): 3.0
Formation enthalpy at 0 K (meV per atom): 809

POSCAR file:
```
Cd4Os
1.0
-1.867 1.867 7.658
1.867 -1.867 7.658
1.867 1.867 -7.658
Cd Os
4 1
direct
0.089 0.089 0.000
0.250 0.750 0.500
0.750 0.250 0.500
0.911 0.911 0.000
0.500 0.500 0.000
```

***

Material: NiHgSe2
Method: DFT, GGA-PBE
State: optimized geometry

D(E_F) (states/eV/cell): 3.7
Formation energy without anion corrections (eV per atom): 0.335

POSCAR file:
```
NiHgSe2
1.0
3.923 0.000 0.000
0.000 3.927 0.000
-0.010 0.000 5.298
Ni Hg Se
1 1 2
direct
0.000 0.000 0.000
0.500 0.500 0.000
0.000 0.000 0.500
0.500 0.500 0.500
```

***

Material: CsRbHgPt
Method: DFT, GGA-PBE
State: optimized geometry

D(E_F) (states/eV/cell): 1.5
Formation enthalpy at 0 K (meV per atom): -158

POSCAR file:
```
CsRbHgPt
1.0
2.429 1.403 9.279
-2.429 1.403 9.279
0.000 -2.805 9.279
Cs Rb Hg Pt
1 1 1 1
direct
0.000 0.000 0.000
0.163 0.163 0.163
0.752 0.752 0.752
0.417 0.417 0.417
```

***

Material: TmAl9Co2
Method: DFT, GGA-PBE
State: optimized geometry

D(E_F) (states/eV/cell): 11.7
Formation enthalpy at 0 K (meV per atom): -343

POSCAR file:
```
TmAl9Co2
1.0
-5.295 5.295 3.353
5.295 -5.295 3.353
5.295 5.295 -3.353
Tm Al Co
2 18 4
direct
0.375 0.625 0.750
0.625 0.375 0.250
0.125 0.875 0.250
0.133 0.566 0.324
0.133 0.809 0.567
0.191 0.258 0.324
0.191 0.867 0.933
0.258 0.191 0.824
0.258 0.434 0.067
0.434 0.258 0.567
0.434 0.867 0.176
0.566 0.133 0.824
0.566 0.742 0.433
0.742 0.566 0.933
0.742 0.809 0.176
0.809 0.133 0.067
0.809 0.742 0.676
0.867 0.191 0.433
0.867 0.434 0.676
0.875 0.125 0.750
0.000 0.000 0.000
0.000 0.000 0.500
0.000 0.500 0.000
0.500 0.000 0.500
```

***

Material: KNa2Pb2Br7
Method: DFT, GGA-PBE
State: optimized geometry

D(E_F) (states/eV/cell): 0.0
Formation energy without anion corrections (eV per atom): -1.246

POSCAR file:
```
KNa2Pb2Br7
1.0
-3.033 12.181 3.028
3.033 -12.181 3.028
3.033 12.181 -3.028
K Na Pb Br
1 2 2 7
direct
0.000 0.000 0.000
0.443 0.693 0.750
0.942 0.693 0.250
0.561 0.185 0.377
0.808 0.185 0.623
0.063 0.689 0.374
0.315 0.689 0.626
0.446 0.193 0.253
0.582 0.703 0.878
0.754 0.254 0.500
0.825 0.703 0.122
0.940 0.193 0.747
```

***

Material: Be2TlO
Method: DFT, GGA-PBE
State: optimized geometry

D(E_F) (states/eV/cell): 1.9
Formation energy without anion corrections (eV per atom): -0.660

POSCAR file:
```
Be2TlO
1.0
-2.534 2.534 4.109
2.534 -2.534 4.109
2.534 2.534 -4.109
Be Tl O
4 2 2
direct
0.375 0.220 0.345
0.780 0.125 0.155
0.875 0.030 0.655
0.970 0.625 0.845
0.250 0.750 0.500
0.500 0.500 0.000
0.000 0.000 0.000
0.750 0.250 0.500
```

***

Material: Li5Er4Au6
Method: DFT, GGA-PBE
State: optimized geometry

D(E_F) (states/eV/cell): 16.4
Formation enthalpy at 0 K (meV per atom): -604

POSCAR file:
```
Li5Er4Au6
1.0
2.035 -10.664 0.000
2.035 10.664 0.000
0.000 0.000 14.515
Li Er Au
10 8 12
direct
0.048 0.952 0.500
0.153 0.847 0.815
0.177 0.823 0.098
0.188 0.812 0.445
0.322 0.678 0.459
0.678 0.322 0.959
0.812 0.188 0.945
0.823 0.177 0.598
0.847 0.153 0.315
0.952 0.048 0.000
0.323 0.677 0.773
0.359 0.641 0.126
0.457 0.543 0.612
0.478 0.522 0.345
0.522 0.478 0.845
0.543 0.457 0.112
0.641 0.359 0.626
0.677 0.323 0.273
0.051 0.949 0.694
0.079 0.921 0.258
0.081 0.919 0.970
0.242 0.758 0.611
0.273 0.727 0.287
0.398 0.602 0.935
0.602 0.398 0.435
0.727 0.273 0.787
0.758 0.242 0.111
0.919 0.081 0.470
0.921 0.079 0.758
0.949 0.051 0.194
```